Record 1
# SmAsN2O

A relaxed structure of SmAsN2O (PBE, OQMD).

abc: 5.4066 6.9370 6.5185
angles: 90.00 90.79 90.00
With the nearest neighbours (Å) after each atom.
Fractional coordinates of all 20 atoms:
Sm 0.2492 0.0032 0.1541  3 O 2.30-2.46, 2 N 2.43-2.50
Sm 0.2492 0.4968 0.1541  3 O 2.30-2.46, 2 N 2.43-2.50
Sm 0.7508 0.5032 0.8459  3 O 2.30-2.46, 2 N 2.43-2.50
Sm 0.7508 0.9968 0.8459  3 O 2.30-2.46, 2 N 2.43-2.50
As 0.2241 0.2500 0.7032  4 N 1.93-2.02, 2 O 1.97-1.98
As 0.2859 0.7500 0.6220  4 N 1.78-1.87
As 0.7141 0.2500 0.3780  4 N 1.78-1.87
As 0.7759 0.7500 0.2968  4 N 1.93-2.02, 2 O 1.97-1.98
N 0.1167 0.7500 0.3866  2 As 1.78-1.93
N 0.2322 0.5337 0.7728  2 As 1.82-2.02
N 0.2322 0.9663 0.7728  2 As 1.82-2.02
N 0.3767 0.2500 0.4354  2 As 1.87-1.94
N 0.6233 0.7500 0.5646  2 As 1.87-1.94
N 0.7678 0.0337 0.2272  2 As 1.82-2.02
N 0.7678 0.4663 0.2272  2 As 1.82-2.02
N 0.8833 0.2500 0.6134  2 As 1.78-1.93
O 0.0392 0.2500 0.9618  1 As 1.97
O 0.4903 0.2500 0.9151  1 As 1.98
O 0.5097 0.7500 0.0849  1 As 1.98
O 0.9608 0.7500 0.0382  1 As 1.97

=====

Record 2
# SmTlCd

A relaxed structure of SmTlCd (PBE, OQMD).

abc: 5.0100 5.0100 7.3214
angles: 90.00 90.00 120.00
With the nearest neighbours (Å) after each atom.
Fractional coordinates of all 6 atoms:
Sm 0.0000 0.0000 0.0000  6 Cd 3.42, 6 Tl 3.42, 2 Sm 3.66
Sm 0.0000 0.0000 0.5000  6 Cd 3.42, 6 Tl 3.42, 2 Sm 3.66
Tl 0.3333 0.6667 0.2500  3 Cd 2.89
Tl 0.6667 0.3333 0.7500  3 Cd 2.89
Cd 0.3333 0.6667 0.7500  3 Tl 2.89
Cd 0.6667 0.3333 0.2500  3 Tl 2.89

=====

Record 3
# BaSmAuSe2S

A relaxed structure of BaSmAuSe2S (PBE, OQMD).

abc: 7.4126 7.4126 10.6510
angles: 90.00 90.00 146.64
With the nearest neighbours (Å) after each atom.
Fractional coordinates of all 12 atoms:
Ba 0.2409 0.7591 0.7500  2 S 3.18, 6 Se 3.42-3.52
Ba 0.7591 0.2409 0.2500  2 S 3.18, 6 Se 3.42-3.52
Sm 0.5000 0.5000 0.0000  2 S 2.87, 4 Se 2.98
Sm 0.5000 0.5000 0.5000  2 S 2.87, 4 Se 2.98
Au 0.0303 0.9697 0.2500  2 S 2.60, 2 Se 2.63
Au 0.9697 0.0303 0.7500  2 S 2.60, 2 Se 2.63
Se 0.1418 0.8582 0.0528  1 Au 2.63
Se 0.1418 0.8582 0.4472  1 Au 2.63
Se 0.8582 0.1418 0.5528  1 Au 2.63
Se 0.8582 0.1418 0.9472  1 Au 2.63
S 0.4255 0.5745 0.2500  2 Au 2.60, 2 Sm 2.87
S 0.5745 0.4255 0.7500  2 Au 2.60, 2 Sm 2.87

=====

Record 4
# PIrAuO

A relaxed structure of PIrAuO (PBE, OQMD).

Output
The energy relative to the lowest polymorph listed for this composition is 0 meV per atom.

abc: 3.2973 5.6931 7.1350
angles: 90.00 90.00 90.00
With the nearest neighbours (Å) after each atom.
Fractional coordinates of all 8 atoms:
P 0.0000 0.2357 0.0000  2 Ir 2.27, 2 Au 2.32-2.39
P 0.0000 0.7643 0.5000  2 Ir 2.27, 2 Au 2.32-2.39
Ir 0.5000 0.4905 0.0809  2 O 1.90-1.97
Ir 0.5000 0.5095 0.5809  2 O 1.90-1.97
Au 0.0000 0.1085 0.6909  2 P 2.32-2.39
Au 0.0000 0.8915 0.1909  2 P 2.32-2.39
O 0.5000 0.3675 0.3392  2 Ir 1.90-1.97
O 0.5000 0.6325 0.8392  2 Ir 1.90-1.97

=====

Record 5
# NaPmSc

A relaxed structure of NaPmSc (PBE, OQMD).

Output
The energy relative to the lowest polymorph listed for this composition is 0 meV per atom.

abc: 5.2068 5.2068 5.2068
angles: 60.00 60.00 60.00
With the nearest neighbours (Å) after each atom.
Fractional coordinates of all 3 atoms:
Na 0.0000 0.0000 0.0000  4 Sc 3.19, 4 Pm 3.19
Pm 0.7500 0.7500 0.7500  4 Na 3.19
Sc 0.2500 0.2500 0.2500  4 Na 3.19

=====

Record 6
# Nd2In

A relaxed structure of Nd2In (PBE, OQMD).

abc: 9.2311 9.2311 3.7998
angles: 90.00 90.00 120.00
With the nearest neighbours (Å) after each atom.
Fractional coordinates of all 9 atoms:
Nd 0.0000 0.3824 0.0000  5 In 3.45-3.53, 8 Nd 3.58-3.80
Nd 0.0000 0.7112 0.5000  4 In 3.27-3.30, 2 Nd 3.58
Nd 0.2888 0.2888 0.5000  4 In 3.27-3.30, 2 Nd 3.58
Nd 0.3824 0.0000 0.0000  5 In 3.45-3.53, 8 Nd 3.58-3.80
Nd 0.6176 0.6176 0.0000  5 In 3.45-3.53, 8 Nd 3.58-3.80
Nd 0.7112 0.0000 0.5000  4 In 3.27-3.30, 2 Nd 3.58
In 0.0000 0.0000 0.0000  9 Nd 3.27-3.53
In 0.3333 0.6667 0.5000  9 Nd 3.30-3.45
In 0.6667 0.3333 0.5000  9 Nd 3.30-3.45

=====

| no. | uncorrected energy (eV/cell) |
| --- | --- |
| 1 | -142.7 |
| 2 | -17.8 |
| 3 | -60.5 |
| 4 | -46.9 |
| 5 | -9.9 |
| 6 | -39.8 |